[1]
VASP calculation (PBE) on Zn2Hg2Se2O9 after structural relaxation.

Cell lengths 8.8013, 8.8013, 5.3259 Å; angles 98.78, 98.78, 43.10 degrees
Closest atoms and distances in Å follow each position.
Element x y z (fractional)
1 Zn 0.2391 0.7609 0.0000  2 O 1.87-1.89
2 Zn 0.7609 0.2391 0.0000  2 O 1.87-1.89
3 Hg 0.1660 0.1660 0.8580  1 O 2.12
4 Hg 0.3239 0.3239 0.9203  1 O 2.12
5 Se 0.6692 0.6692 0.3591  3 O 1.63-1.67
6 Se 0.8721 0.8721 0.4312  3 O 1.64-1.69
7 O 0.0359 0.0359 0.8439  2 Zn 1.89, 1 Hg 2.12
8 O 0.0989 0.6613 0.5901  1 Se 1.64
9 O 0.4089 0.8378 0.2310  1 Se 1.67
10 O 0.4543 0.4543 0.0355  2 Zn 1.87
11 O 0.6613 0.0989 0.5901  1 Se 1.64
12 O 0.6900 0.6900 0.6697  1 Se 1.63
13 O 0.7680 0.7680 0.2319  2 Se 1.85
14 O 0.8378 0.4089 0.2310  1 Se 1.67
15 O 0.9287 0.9287 0.1928  1 Se 1.69

Formation energy from raw total energies: -67.9 kJ/mol of atoms
Symmetry: Cm (8)

=====

[2]
VASP calculation (PBE) on Zn2HgSeO6 after structural relaxation.

Cell lengths 8.3976, 8.3976, 6.2784 Å; angles 111.57, 111.57, 88.03 degrees
Closest atoms and distances in Å follow each position.
Element x y z (fractional)
1 Zn 0.1717 0.3192 0.1642  4 O 1.94-2.12
2 Zn 0.3192 0.1717 0.6642  4 O 1.94-2.12
3 Zn 0.6808 0.8283 0.3358  4 O 1.94-2.12
4 Zn 0.8283 0.6808 0.8358  4 O 1.94-2.12
5 Hg 0.0572 0.9428 0.7500  2 O 2.05
6 Hg 0.9428 0.0572 0.2500  2 O 2.05
7 Se 0.2788 0.7212 0.2500  4 O 1.67-1.68
8 Se 0.7212 0.2788 0.7500  4 O 1.67-1.68
9 O 0.1005 0.7023 0.0031  1 Se 1.67
10 O 0.1539 0.2364 0.4084  2 Zn 1.94-1.95, 1 Hg 2.05
11 O 0.2364 0.1539 0.9084  2 Zn 1.94-1.95, 1 Hg 2.05
12 O 0.2791 0.5576 0.3433  1 Se 1.68
13 O 0.2977 0.8995 0.4969  1 Se 1.67
14 O 0.4424 0.7209 0.1567  1 Se 1.68
15 O 0.5576 0.2791 0.8433  1 Se 1.68
16 O 0.7023 0.1005 0.5031  1 Se 1.67
17 O 0.7209 0.4424 0.6567  1 Se 1.68
18 O 0.7636 0.8461 0.0916  2 Zn 1.94-1.95, 1 Hg 2.05
19 O 0.8461 0.7636 0.5916  2 Zn 1.94-1.95, 1 Hg 2.05
20 O 0.8995 0.2977 0.9969  1 Se 1.67

Formation energy from raw total energies: -81.3 kJ/mol of atoms
Symmetry: C2/c (15)